This record from Alexandria describes crystalline CrC5 at its relaxed geometry. The functional is PBE-GGA.

As for the symmetry: Amm2, No. 38. For the formation energy, the calculation gives 566 meV/atom. The density comes out at 4.57 g cm⁻³.

POSCAR file:
```
CrC5
1.0
2.4794 0.0000 0.0000
0.0000 1.2813 6.4116
0.0000 -1.2813 6.4116
Cr C
1 5
Cartesian
0.0000 0.0000 0.0000
0.0000 0.0000 4.3401
0.0000 0.0000 9.8479
1.2397 0.0000 1.6695
1.2397 0.0000 5.2651
1.2397 0.0000 8.9312
```



This record from Alexandria describes crystalline LaZn2Cd2 at its relaxed geometry. The functional is PBE-GGA.

As for the symmetry: I4/mmm, No. 139. For the formation energy, the calculation gives -219 meV/atom. The density comes out at 7.05 g cm⁻³.

POSCAR file:
```
LaZn2Cd2
1.0
-2.3127 2.3127 5.4470
2.3127 -2.3127 5.4470
2.3127 2.3127 -5.4470
La Zn Cd
1 2 2
Cartesian
0.0000 0.0000 0.0000
2.3127 0.0000 2.7235
0.0000 2.3127 2.7235
0.0000 0.0000 4.0840
0.0000 0.0000 6.8100
```